Compound: MnSnB2O6
Source: Alexandria via LeMat-Bulk
Functional: PBE with a Hubbard U
Structure: relaxed

Output
Total moment: 5.000 μB/cell
DOS(E_F): 0.00 states/eV/f.u.
Electronic total energy: -75.40 eV for the cell shown

abc: 4.836 4.836 5.893
angles: 65.77 65.77 60.00
Element x y z (fractional)
B: 0.755 0.755 0.734
B: 0.245 0.245 0.266
O: 0.526 0.258 0.262
O: 0.258 0.953 0.262
O: 0.953 0.526 0.262
O: 0.474 0.742 0.738
O: 0.742 0.047 0.738
O: 0.047 0.474 0.738
Sn: 0.500 0.500 0.500
Mn: 0.000 0.000 0.000